Record 1
Fe2CoCu | PBE | optimized geometry

Calculated total energy   -27.8 eV for the cell shown
Theoretical density   8.373 g/cm3
Calculated formation energy   0.074 eV/atom
ΔE to the lowest computed polymorph   0.028 eV/f.u.

abc: 3.612 3.610 3.562
angles: 90.00 90.00 90.00
Sites, in units of the cell vectors:
Co  0.500  0.000  0.500
Fe  0.500  0.500  0.000
Fe  0.000  0.000  0.000
Cu  0.000  0.500  0.500

---

Record 2
PmScBe2Pt5 | PBE | optimized geometry

Calculated total energy   -55.6 eV for the cell shown
Theoretical density   12.017 g/cm3
Calculated formation energy   -0.766 eV/atom

abc: 4.053 4.053 9.957
angles: 90.00 90.00 90.00
Sites, in units of the cell vectors:
Pt  0.500  0.000  0.189
Pt  0.000  0.500  0.189
Pt  0.500  0.000  0.811
Pt  0.000  0.500  0.811
Pt  0.500  0.500  0.500
Be  0.500  0.500  0.721
Be  0.500  0.500  0.279
Pm  0.000  0.000  0.500
Sc  0.000  0.000  0.000

---

Record 3
AsOs2Pb | PBE | optimized geometry

Calculated total energy   -27.2 eV for the cell shown
Theoretical density   16.221 g/cm3
Calculated formation energy   0.895 eV/atom
ΔE to the lowest computed polymorph   1.981 eV/f.u.

abc: 3.237 4.577 4.577
angles: 90.00 90.00 90.00
Sites, in units of the cell vectors:
Os  0.000  0.000  0.000
Os  0.000  0.500  0.500
Pb  0.500  0.500  0.000
As  0.500  0.000  0.500

---

Record 4
Pr2PaN4 | PBE | optimized geometry

Calculated total energy   -123.3 eV for the cell shown
Theoretical density   8.245 g/cm3
Formation energy (no corrections)   -1.324 eV/atom

abc: 3.661 6.124 10.220
angles: 90.00 90.00 90.00
Sites, in units of the cell vectors:
N  0.000  0.854  0.307
N  0.500  0.229  0.459
N  0.500  0.729  0.041
N  0.500  0.271  0.959
N  0.500  0.771  0.541
N  0.000  0.354  0.193
N  0.000  0.146  0.693
N  0.000  0.646  0.807
Pa  0.000  0.500  0.000
Pa  0.000  0.000  0.500
Pr  0.500  0.061  0.175
Pr  0.500  0.561  0.325
Pr  0.500  0.439  0.675
Pr  0.500  0.939  0.825

---

Record 5
KPmP2 | PBE | optimized geometry

Calculated total energy   -18.2 eV for the cell shown
Theoretical density   4.376 g/cm3
Calculated formation energy   -0.386 eV/atom

abc: 3.978 4.844 4.844
angles: 90.00 90.00 90.00
Sites, in units of the cell vectors:
P  0.000  0.000  0.500
P  0.000  0.500  0.000
K  0.500  0.500  0.500
Pm  0.500  0.000  0.000

---

Record 6
YCd3Fe | PBE | optimized geometry

Calculated total energy   -11.0 eV for the cell shown
Theoretical density   4.122 g/cm3
Calculated formation energy   1.332 eV/atom
ΔE to the lowest computed polymorph   5.350 eV/f.u.

abc: 5.791 5.791 5.791
angles: 90.00 90.00 90.00
Sites, in units of the cell vectors:
Cd  0.500  0.000  0.000
Cd  0.000  0.500  0.000
Cd  0.000  0.000  0.500
Y  0.000  0.000  0.000
Fe  0.500  0.500  0.500

---

> What is the calculated total energy in the fifth record?

-18.2 eV for the cell shown

---

> theoretical density of number 4 (Pr2PaN4)?

8.245 g/cm3

---

> Which value of theoretical density does entry 3 give?

16.221 g/cm3

---

> Look up the calculated total energy of the first one.

-27.8 eV for the cell shown